Computed, not measured: an optimized crystal structure of NdTa3O9 at the GGA-PBE level of DFT.

a b c (Å): 7.613 5.442 8.311
angles (deg): 87.56 90.00 90.00
Fractional coordinates of all 26 atoms:
O: 0.038 0.265 0.532
Ta: 0.000 0.000 0.000
O: 0.057 0.155 0.213
Ta: 0.993 0.473 0.302
Ta: 0.500 0.000 0.000
O: 0.250 0.647 0.661
O: 0.750 0.083 0.017
O: 0.557 0.845 0.787
O: 0.943 0.845 0.787
O: 0.453 0.317 0.877
O: 0.538 0.735 0.468
O: 0.750 0.353 0.339
O: 0.047 0.317 0.877
O: 0.250 0.917 0.983
O: 0.443 0.155 0.213
Ta: 0.493 0.527 0.698
O: 0.750 0.439 0.687
O: 0.962 0.735 0.468
O: 0.462 0.265 0.532
Ta: 0.007 0.527 0.698
O: 0.547 0.683 0.123
Ta: 0.507 0.473 0.302
Nd: 0.750 0.034 0.566
O: 0.250 0.561 0.313
Nd: 0.250 0.966 0.434
O: 0.953 0.683 0.123

Results
Formation energy (no corrections): -69.8 kcal/mol of atoms
Density of states at the Fermi level: 0.0 states/eV per cell
E above lowest polymorph: 0.0 meV/atom